1.
{
  "formula": "Ac2HfCd",
  "functional": "GGA-PBE",
  "state": "optimized geometry",
  "lattice": [[-0.215, 3.183, 1.517], [-2.567, 0.676, 2.332], [6.371, -2.585, 10.439]],
  "species": ["Ac", "Ac", "Hf", "Cd"],
  "frac_coords": [[0.088, 0.088, 0.737], [0.912, 0.912, 0.263], [0.000, 0.000, 0.000], [0.500, 0.500, 0.500]],
  "dos_at_fermi_per_ev_atom": 1.3657,
  "total_energy_ev_per_atom": -4.2567,
  "crystal_system": "trigonal"
}

2.
{
  "formula": "Ac2HfCdO6",
  "functional": "GGA-PBE",
  "state": "optimized geometry",
  "lattice": [[5.916, 0.000, -0.005], [0.000, 6.118, 0.000], [0.046, 0.000, 8.474]],
  "species": ["O", "O", "O", "O", "O", "O", "O", "O", "O", "O", "O", "O", "Hf", "Hf", "Ac", "Ac", "Ac", "Ac", "Cd", "Cd"],
  "frac_coords": [[0.786, 0.813, 0.551], [0.316, 0.719, 0.438], [0.107, 0.455, 0.766], [0.607, 0.045, 0.266], [0.184, 0.219, 0.062], [0.714, 0.313, 0.949], [0.214, 0.187, 0.449], [0.393, 0.955, 0.734], [0.816, 0.781, 0.938], [0.684, 0.281, 0.562], [0.893, 0.545, 0.234], [0.286, 0.687, 0.051], [0.000, 0.500, 0.000], [0.500, 0.000, 0.500], [0.987, 0.051, 0.748], [0.487, 0.449, 0.248], [0.513, 0.551, 0.752], [0.013, 0.949, 0.252], [0.000, 0.500, 0.500], [0.500, 0.000, 0.000]],
  "dos_at_fermi_per_ev_atom": 0.0000,
  "raw_formation_energy_ev_per_atom": -2.997,
  "crystal_system": "monoclinic"
}